1.
Here is Li2Ac2TmO6 after structural relaxation from the Alexandria database. Energies are from PBE.

abc: 6.4076 6.4076 6.4076
angles: 54.71 54.71 54.71
Sites, in units of the cell vectors:
Li (0.0712, 0.0712, 0.0712)
Li (0.9288, 0.9288, 0.9288)
Ac (0.2887, 0.2887, 0.2887)
Ac (0.7113, 0.7113, 0.7113)
Tm (0.5000, 0.5000, 0.5000)
O (0.2507, 0.2507, 0.7182)
O (0.2507, 0.7182, 0.2507)
O (0.2818, 0.7493, 0.7493)
O (0.7182, 0.2507, 0.2507)
O (0.7493, 0.2818, 0.7493)
O (0.7493, 0.7493, 0.2818)

Output
The density of states at the Fermi level is 6.627 states/eV/f.u. Its total moment is 1.08 μB/cell. The energy comes out at -74.81 eV per cell.

=====

2.
Here is LiAc2TmO5 after structural relaxation from the Alexandria database. Energies are from PBE.

abc: 4.2446 4.2446 8.3828
angles: 90.00 90.00 90.00
Sites, in units of the cell vectors:
Li (0.0000, 0.0000, 0.0000)
Ac (0.5000, 0.5000, 0.2672)
Ac (0.5000, 0.5000, 0.7328)
Tm (0.0000, 0.0000, 0.5000)
O (0.0000, 0.0000, 0.2309)
O (0.0000, 0.0000, 0.7691)
O (0.0000, 0.5000, 0.5000)
O (0.5000, 0.0000, 0.5000)
O (0.5000, 0.5000, 0.0000)

Output
The density of states at the Fermi level is 0.000 states/eV/f.u. Its total moment is 0.00 μB/cell. The energy comes out at -66.10 eV per cell.

=====

3.
Here is Li2Ac2UO6 after structural relaxation from the Alexandria database. Energies are from PBE.

abc: 6.5611 6.5611 6.5611
angles: 53.55 53.55 53.55
Sites, in units of the cell vectors:
Li (0.0730, 0.0730, 0.0730)
Li (0.9270, 0.9270, 0.9270)
Ac (0.2912, 0.2912, 0.2912)
Ac (0.7088, 0.7088, 0.7088)
U (0.5000, 0.5000, 0.5000)
O (0.2523, 0.2523, 0.7167)
O (0.2523, 0.7167, 0.2523)
O (0.2833, 0.7477, 0.7477)
O (0.7167, 0.2523, 0.2523)
O (0.7477, 0.2833, 0.7477)
O (0.7477, 0.7477, 0.2833)

Output
The density of states at the Fermi level is 4.921 states/eV/f.u. Its total moment is 1.81 μB/cell. The energy comes out at -82.76 eV per cell.

=====

4.
Here is LiAcU2O8 after structural relaxation from the Alexandria database. Energies are from PBE.

abc: 5.5694 5.5694 6.0834
angles: 90.00 90.00 120.00
Sites, in units of the cell vectors:
Li (0.0000, 0.0000, 0.0000)
Ac (0.0000, 0.0000, 0.5000)
U (0.3333, 0.6667, 0.8988)
U (0.6667, 0.3333, 0.1012)
O (0.0517, 0.3456, 0.1591)
O (0.2939, 0.9483, 0.1591)
O (0.3333, 0.6667, 0.5816)
O (0.3456, 0.2939, 0.8409)
O (0.6544, 0.7061, 0.1591)
O (0.6667, 0.3333, 0.4184)
O (0.7061, 0.0517, 0.8409)
O (0.9483, 0.6544, 0.8409)

Output
The density of states at the Fermi level is 0.000 states/eV/f.u. Its total moment is 0.00 μB/cell. The energy comes out at -102.29 eV per cell.

=====

5.
Here is Li2AcUO6 after structural relaxation from the Alexandria database. Energies are from PBE.

abc: 7.5454 7.5454 6.6908
angles: 112.31 112.31 74.95
Sites, in units of the cell vectors:
Li (0.1510, 0.2786, 0.1508)
Li (0.2786, 0.1510, 0.6508)
Li (0.7214, 0.8490, 0.3492)
Li (0.8490, 0.7214, 0.8492)
Ac (0.3846, 0.6154, 0.7500)
Ac (0.6154, 0.3846, 0.2500)
U (0.2064, 0.7936, 0.2500)
U (0.7936, 0.2064, 0.7500)
O (0.0760, 0.1945, 0.8010)
O (0.1213, 0.6765, 0.9022)
O (0.1945, 0.0760, 0.3010)
O (0.2885, 0.5118, 0.3105)
O (0.3235, 0.8787, 0.5978)
O (0.4882, 0.7115, 0.1895)
O (0.5118, 0.2885, 0.8105)
O (0.6765, 0.1213, 0.4022)
O (0.7115, 0.4882, 0.6895)
O (0.8055, 0.9240, 0.6990)
O (0.8787, 0.3235, 0.0978)
O (0.9240, 0.8055, 0.1990)

Output
The density of states at the Fermi level is 4.093 states/eV/f.u. Its total moment is 0.00 μB/cell. The energy comes out at -149.98 eV per cell.